! PBE-GGA Cs3Zn2Ag4, relaxed; values from VASP
&SYSTEM
  ibrav = 0, nat = 9, ntyp = 3
/
ATOMIC_SPECIES
Cs 132.91 Cs.upf
Zn 65.41 Zn.upf
Ag 107.87 Ag.upf
CELL_PARAMETERS angstrom
6.7378 -2.3978 0.0000
6.7378 2.3978 0.0000
-3.2618 0.0000 9.3300
ATOMIC_POSITIONS crystal
Cs 0.0000 0.0000 0.0000
Cs 0.3720 0.3720 0.6209
Cs 0.6280 0.6280 0.3791
Zn 0.3274 0.3274 0.2089
Zn 0.6726 0.6726 0.7911
Ag 0.0859 0.0859 0.6416
Ag 0.2413 0.2413 0.9171
Ag 0.7587 0.7587 0.0829
Ag 0.9141 0.9141 0.3584
! DFT formation energy = 0.036 eV/atom
! DFT total energy = -16.2 eV for the cell shown